# 1
# PBE LaGaOs2Pb, optimized geometry
data_LaGaOs2Pb
_symmetry_space_group_name_H-M 'P 4/m m m'
_symmetry_Int_Tables_number 123
_symmetry_space_group_name_Hall '-P 4 2'
_cell_length_a 4.756
_cell_length_b 4.756
_cell_length_c 5.119
_cell_angle_alpha 90.00
_cell_angle_beta 90.00
_cell_angle_gamma 90.00
loop_
_atom_site_label
_atom_site_fract_x
_atom_site_fract_y
_atom_site_fract_z
La1 0.000 0.000 0.000
Ga1 0.500 0.500 0.500
Os1 0.000 0.500 0.500
Pb1 0.500 0.500 0.000
# - Energy: -5.99 eV per atom
# - Formation energy from the elements: 4.19 eV/f.u.



# 2
# PBE La2GaOsPb, optimized geometry
data_La2GaOsPb
_symmetry_space_group_name_H-M 'P 4/m m m'
_symmetry_Int_Tables_number 123
_symmetry_space_group_name_Hall '-P 4 2'
_cell_length_a 5.518
_cell_length_b 5.518
_cell_length_c 4.899
_cell_angle_alpha 90.00
_cell_angle_beta 90.00
_cell_angle_gamma 90.00
loop_
_atom_site_label
_atom_site_fract_x
_atom_site_fract_y
_atom_site_fract_z
La1 0.000 0.500 0.000
Ga1 0.000 0.000 0.500
Os1 0.000 0.000 0.000
Pb1 0.500 0.500 0.500
# - Energy: -5.88 eV per atom
# - Formation energy from the elements: -1.57 eV/f.u.



# 3
# PBE LaPmGaOs, optimized geometry
data_LaPmGaOs
_symmetry_space_group_name_H-M 'F -4 3 m'
_symmetry_Int_Tables_number 216
_symmetry_space_group_name_Hall 'F -4 2 3'
_cell_length_a 7.245
_cell_length_b 7.245
_cell_length_c 7.245
_cell_angle_alpha 90.00
_cell_angle_beta 90.00
_cell_angle_gamma 90.00
loop_
_atom_site_label
_atom_site_fract_x
_atom_site_fract_y
_atom_site_fract_z
La1 0.000 0.000 0.000
Pm1 0.000 0.000 0.500
Ga1 0.250 0.250 0.750
Os1 0.250 0.250 0.250
# - Energy: -6.18 eV per atom
# - Formation energy from the elements: -0.78 eV/f.u.



# 4
# PBE LaPrGaOs, optimized geometry
data_LaPrGaOs
_symmetry_space_group_name_H-M 'F -4 3 m'
_symmetry_Int_Tables_number 216
_symmetry_space_group_name_Hall 'F -4 2 3'
_cell_length_a 7.299
_cell_length_b 7.299
_cell_length_c 7.299
_cell_angle_alpha 90.00
_cell_angle_beta 90.00
_cell_angle_gamma 90.00
loop_
_atom_site_label
_atom_site_fract_x
_atom_site_fract_y
_atom_site_fract_z
La1 0.000 0.000 0.000
Pr1 0.000 0.000 0.500
Ga1 0.250 0.250 0.750
Os1 0.250 0.250 0.250
# - Energy: -6.15 eV per atom
# - Formation energy from the elements: -0.64 eV/f.u.



# 5
# PBE LaGa4OsRh2, optimized geometry
data_LaGa4OsRh2
_symmetry_space_group_name_H-M 'R -3 m'
_symmetry_Int_Tables_number 166
_symmetry_space_group_name_Hall '-R 3 2"'
_cell_length_a 4.2715
_cell_length_b 4.2715
_cell_length_c 26.8770
_cell_angle_alpha 90.00
_cell_angle_beta 90.00
_cell_angle_gamma 120.00
loop_
_atom_site_label
_atom_site_fract_x
_atom_site_fract_y
_atom_site_fract_z
La1 0.0000 0.0000 0.0000
Ga1 0.0000 0.0000 0.1331
Ga2 0.0000 0.0000 0.4045
Os1 0.0000 0.0000 0.5000
Rh1 0.0000 0.0000 0.2341
# - Energy: -5.88 eV per atom
# - Formation energy from the elements: -4.11 eV/f.u.



# 6
# PBE LaGa2OsRu, optimized geometry
data_LaGa2OsRu
_symmetry_space_group_name_H-M 'P 4/m m m'
_symmetry_Int_Tables_number 123
_symmetry_space_group_name_Hall '-P 4 2'
_cell_length_a 4.792
_cell_length_b 4.792
_cell_length_c 5.340
_cell_angle_alpha 90.00
_cell_angle_beta 90.00
_cell_angle_gamma 90.00
loop_
_atom_site_label
_atom_site_fract_x
_atom_site_fract_y
_atom_site_fract_z
La1 0.000 0.000 0.000
Ga1 0.000 0.500 0.500
Os1 0.000 0.000 0.500
Ru1 0.500 0.500 0.000
# - Energy: -5.77 eV per atom
# - Formation energy from the elements: 2.63 eV/f.u.